Material: UTc2O6
Method: DFT, PBE
State: relaxed

Cell lengths 9.033, 9.033, 5.059 Å; angles 90.00, 90.00, 120.00 degrees
Positions (direct):
U 0.000 0.000 0.000
U 0.333 0.667 0.526
U 0.667 0.333 0.474
Tc 0.000 0.360 0.000
Tc 0.000 0.640 0.000
Tc 0.360 0.000 0.000
Tc 0.360 0.360 0.000
Tc 0.640 0.000 0.000
Tc 0.640 0.640 0.000
O 0.112 0.556 0.260
O 0.122 0.245 0.192
O 0.122 0.878 0.192
O 0.223 0.447 0.786
O 0.223 0.777 0.786
O 0.245 0.122 0.808
O 0.444 0.556 0.260
O 0.444 0.888 0.260
O 0.447 0.223 0.214
O 0.553 0.777 0.786
O 0.556 0.112 0.740
O 0.556 0.444 0.740
O 0.755 0.878 0.192
O 0.777 0.223 0.214
O 0.777 0.553 0.214
O 0.878 0.122 0.808
O 0.878 0.755 0.808
O 0.888 0.444 0.740

Summary:
E_tot in eV/cell: -238.20
Spin magnetization in μB per formula unit: 3.4
Space group: P-3m1, No. 164